(1)
# Zr4NbN4 PBE relaxed
# SG: C2/m
# Formation energy from raw total energies (eV per atom): -1.46
data_Zr4NbN4
_chemical_formula_sum 'Zr4 Nb1 N4'
_cell_length_a 4.656
_cell_length_b 5.575
_cell_length_c 5.572
_cell_angle_alpha 79.89
_cell_angle_beta 65.30
_cell_angle_gamma 65.31
_symmetry_space_group_name_H-M 'P 1'
_symmetry_Int_Tables_number 1
_symmetry_space_group_name_Hall 'P 1'
loop_
_atom_site_label
_atom_site_fract_x
_atom_site_fract_y
_atom_site_fract_z
N1 0.099 0.603 0.199
N2 0.901 0.397 0.801
Zr1 0.196 0.201 0.407
Zr2 0.603 0.593 0.201
N3 0.702 0.199 0.397
Zr3 0.804 0.799 0.593
N4 0.298 0.801 0.603
Zr4 0.397 0.407 0.799
Nb1 0.000 0.000 0.000


(2)
# ErTmBi2 PBE relaxed
# SG: I4_1/amd
# Distance to the lowest polymorph of the same formula (meV/atom): 0.0
data_ErTmBi2
_chemical_formula_sum 'Er4 Tm4 Bi8'
_cell_length_a 6.272
_cell_length_b 6.271
_cell_length_c 12.540
_cell_angle_alpha 90.00
_cell_angle_beta 90.00
_cell_angle_gamma 90.00
_symmetry_space_group_name_H-M 'P 1'
_symmetry_Int_Tables_number 1
_symmetry_space_group_name_Hall 'P 1'
loop_
_atom_site_label
_atom_site_fract_x
_atom_site_fract_y
_atom_site_fract_z
Bi1 0.250 0.500 0.875
Tm1 0.250 0.000 0.375
Tm2 0.250 0.500 0.125
Bi2 0.250 0.500 0.375
Bi3 0.750 0.500 0.625
Er1 0.250 0.500 0.625
Er2 0.750 0.500 0.375
Bi4 0.250 0.000 0.125
Tm3 0.750 0.000 0.625
Er3 0.250 0.000 0.875
Bi5 0.750 0.000 0.875
Bi6 0.250 0.000 0.625
Bi7 0.750 0.000 0.375
Tm4 0.750 0.500 0.875
Er4 0.750 0.000 0.125
Bi8 0.750 0.500 0.125


(3)
# Hg2TeSe2 PBE relaxed
# SG: P4/mbm
# Formation energy from raw total energies (eV per atom): 0.04
# Distance to the lowest polymorph of the same formula (meV/atom): 0.0
data_Hg2TeSe2
_chemical_formula_sum 'Hg4 Te2 Se4'
_cell_length_a 8.229
_cell_length_b 8.229
_cell_length_c 4.296
_cell_angle_alpha 90.00
_cell_angle_beta 90.00
_cell_angle_gamma 90.00
_symmetry_space_group_name_H-M 'P 1'
_symmetry_Int_Tables_number 1
_symmetry_space_group_name_Hall 'P 1'
loop_
_atom_site_label
_atom_site_fract_x
_atom_site_fract_y
_atom_site_fract_z
Se1 0.762 0.738 0.000
Se2 0.738 0.238 0.000
Hg1 0.615 0.885 0.500
Te1 0.000 0.000 0.000
Se3 0.262 0.762 0.000
Hg2 0.115 0.615 0.500
Hg3 0.885 0.385 0.500
Te2 0.500 0.500 0.000
Se4 0.238 0.262 0.000
Hg4 0.385 0.115 0.500


(4)
# YAl2Co PBE relaxed
# SG: F-43m
# Energy (eV/atom): -5.485
data_YAl2Co
_chemical_formula_sum 'Y1 Al2 Co1'
_cell_length_a 4.565
_cell_length_b 4.565
_cell_length_c 4.565
_cell_angle_alpha 120.08
_cell_angle_beta 120.05
_cell_angle_gamma 89.89
_symmetry_space_group_name_H-M 'P 1'
_symmetry_Int_Tables_number 1
_symmetry_space_group_name_Hall 'P 1'
loop_
_atom_site_label
_atom_site_fract_x
_atom_site_fract_y
_atom_site_fract_z
Y1 0.250 0.750 0.500
Al1 0.750 0.250 0.500
Co1 0.500 0.500 0.000
Al2 0.000 0.000 0.000


(5)
# MgTlRe2 PBE relaxed
# SG: Cmmm
# Distance to the lowest polymorph of the same formula (meV/atom): 564.0
data_MgTlRe2
_chemical_formula_sum 'Mg1 Tl1 Re2'
_cell_length_a 2.804
_cell_length_b 2.804
_cell_length_c 9.574
_cell_angle_alpha 90.00
_cell_angle_beta 90.00
_cell_angle_gamma 111.45
_symmetry_space_group_name_H-M 'P 1'
_symmetry_Int_Tables_number 1
_symmetry_space_group_name_Hall 'P 1'
loop_
_atom_site_label
_atom_site_fract_x
_atom_site_fract_y
_atom_site_fract_z
Re1 0.000 0.000 0.510
Tl1 0.500 0.500 0.250
Mg1 0.500 0.500 0.750
Re2 0.000 0.000 0.990